[1]
Compound: Pr2Er3TmTe6
Source: the Alexandria database
Functional: PBE-GGA
Structure: relaxed Values from VASP.

Cell and atoms, written as Quantum ESPRESSO input:
```
&SYSTEM
  ibrav = 0, nat = 12, ntyp = 4
/
ATOMIC_SPECIES
Pr 140.91 Pr.upf
Er 167.26 Er.upf
Tm 168.93 Tm.upf
Te 127.60 Te.upf
CELL_PARAMETERS angstrom
9.639 -2.168 0.000
9.639 2.168 0.000
-2.152 0.000 8.592
ATOMIC_POSITIONS angstrom
Pr 2.592 0.000 2.919
Pr 14.534 0.000 5.673
Er 1.584 0.000 7.202
Er 8.563 0.000 4.296
Er 15.542 0.000 1.389
Tm 9.639 0.000 0.000
Te -1.526 0.000 6.480
Te 4.523 0.000 7.988
Te 5.687 0.000 3.490
Te 11.438 0.000 5.102
Te 12.603 0.000 0.603
Te 18.651 0.000 2.112
```

Formation energy (no corrections) ... -1285 meV per atom
E_tot ... -5.17 eV per atom

***

[2]
Compound: Pr2ErTmTe6
Source: the Alexandria database
Functional: PBE-GGA
Structure: relaxed Values from VASP.

Cell and atoms, written as Quantum ESPRESSO input:
```
&SYSTEM
  ibrav = 0, nat = 10, ntyp = 4
/
ATOMIC_SPECIES
Pr 140.91 Pr.upf
Er 167.26 Er.upf
Tm 168.93 Tm.upf
Te 127.60 Te.upf
CELL_PARAMETERS angstrom
3.923 2.265 7.026
-3.923 2.265 7.026
0.000 -4.530 7.026
ATOMIC_POSITIONS angstrom
Pr 0.000 0.000 0.000
Pr 0.000 0.000 10.531
Er 0.000 0.000 14.571
Tm 0.000 0.000 4.036
Te -1.362 -2.529 9.175
Te -2.420 0.176 12.677
Te -1.510 2.444 9.175
Te 1.058 -2.184 12.677
Te 2.871 0.085 9.175
Te 1.363 2.008 12.677
```

Formation energy (no corrections) ... -1358 meV per atom
E_tot ... -5.10 eV per atom

***

[3]
Compound: Pr2ErTm3Te6
Source: the Alexandria database
Functional: PBE-GGA
Structure: relaxed Values from VASP.

Cell and atoms, written as Quantum ESPRESSO input:
```
&SYSTEM
  ibrav = 0, nat = 12, ntyp = 4
/
ATOMIC_SPECIES
Pr 140.91 Pr.upf
Er 167.26 Er.upf
Tm 168.93 Tm.upf
Te 127.60 Te.upf
CELL_PARAMETERS angstrom
9.656 -2.158 0.000
9.656 2.158 0.000
-2.315 0.000 8.577
ATOMIC_POSITIONS angstrom
Pr 2.524 0.000 2.920
Pr 14.473 0.000 5.657
Er 9.656 0.000 0.000
Tm 1.428 0.000 7.196
Tm 8.498 0.000 4.289
Tm 15.568 0.000 1.381
Te -1.636 0.000 6.449
Te 4.355 0.000 7.970
Te 5.633 0.000 3.466
Te 11.363 0.000 5.111
Te 12.641 0.000 0.607
Te 18.632 0.000 2.128
```

Formation energy (no corrections) ... -1272 meV per atom
E_tot ... -5.14 eV per atom

***

[4]
Compound: Pr3ErTm2Te6
Source: the Alexandria database
Functional: PBE-GGA
Structure: relaxed Values from VASP.

Cell and atoms, written as Quantum ESPRESSO input:
```
&SYSTEM
  ibrav = 0, nat = 12, ntyp = 4
/
ATOMIC_SPECIES
Pr 140.91 Pr.upf
Er 167.26 Er.upf
Tm 168.93 Tm.upf
Te 127.60 Te.upf
CELL_PARAMETERS angstrom
9.760 -2.165 0.000
9.760 2.165 0.000
-2.547 0.000 8.671
ATOMIC_POSITIONS angstrom
Pr 0.000 0.000 0.000
Pr 4.818 0.000 5.785
Pr 12.154 0.000 2.887
Er -1.273 0.000 4.336
Tm 6.088 0.000 1.456
Tm 10.884 0.000 7.216
Te 1.666 0.000 5.153
Te 3.160 0.000 0.623
Te 9.010 0.000 2.253
Te 7.962 0.000 6.418
Te 13.812 0.000 8.048
Te 15.306 0.000 3.518
```

Formation energy (no corrections) ... -1324 meV per atom
E_tot ... -5.22 eV per atom

***

[5]
Compound: Pr2YEr3Te6
Source: the Alexandria database
Functional: PBE-GGA
Structure: relaxed Values from VASP.

Cell and atoms, written as Quantum ESPRESSO input:
```
&SYSTEM
  ibrav = 0, nat = 12, ntyp = 4
/
ATOMIC_SPECIES
Pr 140.91 Pr.upf
Y 88.91 Y.upf
Er 167.26 Er.upf
Te 127.60 Te.upf
CELL_PARAMETERS angstrom
9.656 -2.173 0.000
9.656 2.173 0.000
-2.267 0.000 8.613
ATOMIC_POSITIONS angstrom
Pr 2.510 0.000 2.907
Pr 14.534 0.000 5.706
Y 9.656 0.000 0.000
Er 1.426 0.000 7.196
Er 8.522 0.000 4.307
Er 15.618 0.000 1.417
Te -1.605 0.000 6.458
Te 4.363 0.000 8.001
Te 5.622 0.000 3.500
Te 11.422 0.000 5.113
Te 12.681 0.000 0.612
Te 18.649 0.000 2.155
```

Formation energy (no corrections) ... -1309 meV per atom
E_tot ... -5.36 eV per atom

***

[6]
Compound: PrY2ErTe6
Source: the Alexandria database
Functional: PBE-GGA
Structure: relaxed Values from VASP.

Cell and atoms, written as Quantum ESPRESSO input:
```
&SYSTEM
  ibrav = 0, nat = 10, ntyp = 4
/
ATOMIC_SPECIES
Pr 140.91 Pr.upf
Y 88.91 Y.upf
Er 167.26 Er.upf
Te 127.60 Te.upf
CELL_PARAMETERS angstrom
3.885 2.243 7.061
-3.885 2.243 7.061
0.000 -4.486 7.061
ATOMIC_POSITIONS angstrom
Pr 0.000 0.000 0.000
Y 0.000 0.000 6.546
Y 0.000 0.000 17.194
Er 0.000 0.000 10.513
Te -2.377 -0.103 8.547
Te -1.415 -2.246 12.034
Te 1.278 -2.007 8.547
Te -1.238 2.349 12.034
Te 1.099 2.110 8.547
Te 2.653 -0.102 12.034
```

Formation energy (no corrections) ... -1372 meV per atom
E_tot ... -5.48 eV per atom

***

[7]
Compound: Pr2Y3ErTe6
Source: the Alexandria database
Functional: PBE-GGA
Structure: relaxed Values from VASP.

Cell and atoms, written as Quantum ESPRESSO input:
```
&SYSTEM
  ibrav = 0, nat = 12, ntyp = 4
/
ATOMIC_SPECIES
Pr 140.91 Pr.upf
Y 88.91 Y.upf
Er 167.26 Er.upf
Te 127.60 Te.upf
CELL_PARAMETERS angstrom
9.646 -2.188 0.000
9.646 2.188 0.000
-2.010 0.000 8.658
ATOMIC_POSITIONS angstrom
Pr 2.633 0.000 2.923
Pr 14.650 0.000 5.735
Y 1.694 0.000 7.236
Y 8.642 0.000 4.329
Y 15.589 0.000 1.421
Er 9.646 0.000 0.000
Te -1.440 0.000 6.540
Te 5.721 0.000 3.547
Te 4.665 0.000 8.039
Te 12.618 0.000 0.619
Te 11.562 0.000 5.110
Te 18.723 0.000 2.117
```

Formation energy (no corrections) ... -1339 meV per atom
E_tot ... -5.70 eV per atom

***

[8]
Compound: PrEr9Th2
Source: the Alexandria database
Functional: PBE-GGA
Structure: relaxed Values from VASP.

Cell and atoms, written as Quantum ESPRESSO input:
```
&SYSTEM
  ibrav = 0, nat = 12, ntyp = 3
/
ATOMIC_SPECIES
Pr 140.91 Pr.upf
Er 167.26 Er.upf
Th 232.04 Th.upf
CELL_PARAMETERS angstrom
11.282 0.000 0.000
-5.641 9.770 0.000
0.000 0.000 3.504
ATOMIC_POSITIONS angstrom
Pr 0.000 0.000 0.000
Er -2.820 4.885 0.000
Er 0.000 3.445 1.752
Er -2.658 8.048 1.752
Er 2.983 1.722 1.752
Er 5.641 0.000 0.000
Er 2.820 4.885 0.000
Er 2.658 8.048 1.752
Er 8.299 1.722 1.752
Er 5.641 6.326 1.752
Th 0.000 6.514 0.000
Th 5.641 3.257 0.000
```

Relative energy among the computed polymorphs ... 0.83 eV/f.u.
Energy relative to the elements ... 1.20 eV per formula unit
E_tot ... -4.96 eV per atom

***

[9]
Compound: Pr6Er2Th
Source: the Alexandria database
Functional: PBE-GGA
Structure: relaxed Values from VASP.

Cell and atoms, written as Quantum ESPRESSO input:
```
&SYSTEM
  ibrav = 0, nat = 9, ntyp = 3
/
ATOMIC_SPECIES
Pr 140.91 Pr.upf
Er 167.26 Er.upf
Th 232.04 Th.upf
CELL_PARAMETERS angstrom
3.644 0.000 0.000
-1.822 3.156 0.000
0.000 0.000 27.353
ATOMIC_POSITIONS angstrom
Pr 0.000 0.000 1.832
Pr 0.000 0.000 7.574
Pr 0.000 0.000 19.780
Pr 0.000 0.000 25.522
Pr 0.000 2.104 10.710
Pr 0.000 2.104 16.643
Er 0.000 2.104 4.661
Er 0.000 2.104 22.692
Th 0.000 0.000 13.677
```

Relative energy among the computed polymorphs ... 0.00 eV/f.u.
Energy relative to the elements ... 0.54 eV per formula unit
E_tot ... -4.96 eV per atom

***

[10]
Compound: Pr2ErTh
Source: the Alexandria database
Functional: PBE-GGA
Structure: relaxed Values from VASP.

Cell and atoms, written as Quantum ESPRESSO input:
```
&SYSTEM
  ibrav = 0, nat = 4, ntyp = 3
/
ATOMIC_SPECIES
Pr 140.91 Pr.upf
Er 167.26 Er.upf
Th 232.04 Th.upf
CELL_PARAMETERS angstrom
1.816 1.048 11.831
-1.816 1.048 11.831
0.000 -2.097 11.831
ATOMIC_POSITIONS angstrom
Pr 0.000 0.000 8.846
Pr 0.000 0.000 26.647
Er 0.000 0.000 0.000
Th 0.000 0.000 17.746
```

Relative energy among the computed polymorphs ... 0.00 eV/f.u.
Energy relative to the elements ... 0.20 eV per formula unit
E_tot ... -5.34 eV per atom

***

[11]
Compound: Pr4Er10Th
Source: the Alexandria database
Functional: PBE-GGA
Structure: relaxed Values from VASP.

Cell and atoms, written as Quantum ESPRESSO input:
```
&SYSTEM
  ibrav = 0, nat = 15, ntyp = 3
/
ATOMIC_SPECIES
Pr 140.91 Pr.upf
Er 167.26 Er.upf
Th 232.04 Th.upf
CELL_PARAMETERS angstrom
-5.620 5.620 4.031
5.620 -5.620 4.031
5.620 5.620 -4.031
ATOMIC_POSITIONS angstrom
Pr 2.530 2.530 0.000
Pr 3.090 -3.090 4.031
Pr -3.090 3.090 4.031
Pr 3.090 3.090 4.031
Er 5.620 3.306 -1.642
Er 5.620 0.000 2.016
Er 3.306 5.620 -1.642
Er 2.313 0.000 2.390
Er 5.620 3.306 1.642
Er 0.000 2.313 2.390
Er 3.306 5.620 1.642
Er 2.313 0.000 5.673
Er 0.000 5.620 2.016
Er 0.000 2.313 5.673
Th 0.000 0.000 0.000
```

Energy relative to the elements ... 3.81 eV per formula unit
E_tot ... -4.56 eV per atom